A relaxed structure of PRh2S. Source: Alexandria via LeMat-Bulk, functional PBE.

Computed properties:
**Space group**: Fm-3m, No. 225
**D(E_F)**: 4.18 states/eV per cell
**Formation energy from raw total energies**: -2.0 kJ/mol of atoms
**Density**: 8.1 Mg/m³
**Size of the total moment**: 0.000 μB/f.u.
**DFT total energy**: -24.32 eV for the cell shown

Cell lengths 4.2686, 4.2686, 4.2686 Å; angles 60.00, 60.00, 60.00 degrees
Last column: nearest neighbours and their distance in Å.
Atoms (fractional coordinates):
Rh1 0.2500 0.2500 0.2500  4 S 2.61, 4 P 2.61
Rh2 0.7500 0.7500 0.7500  4 S 2.61, 4 P 2.61
P1 0.0000 0.0000 0.0000  8 Rh 2.61
S1 0.5000 0.5000 0.5000  8 Rh 2.61